Record 1
Density functional theory data (PBE-GGA) for an optimized crystal structure of Y2ZnW.

Unit cell a=5.2606 b=5.2606 c=3.2393 alpha=90.01 beta=90.01 gamma=90.09
Closest atoms and distances in Å follow each position.
Atoms (fractional coordinates):
W  0.0000  0.5000  0.5000  8 Y 3.09, 2 W 3.24
Y  0.5000  0.5000  0.0000  4 W 3.09, 4 Zn 3.09, 2 Y 3.24
Y  0.0000  0.0000  0.0000  4 Zn 3.09, 4 W 3.09, 2 Y 3.24
Zn  0.5000  0.0000  0.5000  8 Y 3.09, 2 Zn 3.24

- Formation energy: 281 meV per atom
- Electronic total energy: -6.51 eV per atom

Record 2
Density functional theory data (PBE-GGA) for an optimized crystal structure of YZn2W.

Unit cell a=6.7092 b=5.0092 c=2.9362 alpha=89.92 beta=64.18 gamma=122.82
Closest atoms and distances in Å follow each position.
Atoms (fractional coordinates):
Zn  0.0000  0.0000  0.0000  4 W 2.90-2.91, 4 Y 2.90-2.91, 4 Zn 2.94-3.02
W  0.0000  0.5000  0.5000  8 Zn 2.90-2.91, 2 W 2.94, 2 Y 3.02
Zn  0.5000  0.0000  0.5000  4 Y 2.90-2.91, 4 W 2.90-2.91, 4 Zn 2.94-3.02
Y  0.5000  0.5000  0.0000  8 Zn 2.90-2.91, 2 Y 2.94, 2 W 3.02

- Offset from the most stable computed form: 102 meV/atom
- Formation energy: 240 meV per atom
- Electronic total energy: -5.25 eV per atom

Record 3
Density functional theory data (PBE-GGA) for an optimized crystal structure of YZrW.

Unit cell a=4.7271 b=4.7271 c=4.7271 alpha=60.00 beta=60.00 gamma=60.00
Closest atoms and distances in Å follow each position.
Atoms (fractional coordinates):
Zr  0.5000  0.5000  0.5000  4 W 2.89
Y  0.0000  0.0000  0.0000  4 W 2.89
W  0.7500  0.7500  0.7500  4 Zr 2.89, 4 Y 2.89

- Offset from the most stable computed form: 438 meV/atom
- Formation energy: 729 meV per atom
- Electronic total energy: -8.59 eV per atom

Record 4
Density functional theory data (PBE-GGA) for an optimized crystal structure of YZrW.

Unit cell a=4.9375 b=4.9375 c=3.0970 alpha=90.00 beta=90.00 gamma=120.00
Closest atoms and distances in Å follow each position.
Atoms (fractional coordinates):
W  0.0000  0.0000  0.9344  3 Zr 2.91, 2 W 3.10, 3 Y 3.10
Y  0.6667  0.3333  0.3273  2 Y 3.10, 6 W 3.10-3.41, 6 Zr 3.12-3.38
Zr  0.3333  0.6667  0.7383  3 W 2.91, 2 Zr 3.10, 3 Y 3.12

- Offset from the most stable computed form: 106 meV/atom
- Formation energy: 397 meV per atom
- Electronic total energy: -8.93 eV per atom

Record 5
Density functional theory data (PBE-GGA) for an optimized crystal structure of YZrW.

Unit cell a=3.3472 b=3.3472 c=7.2034 alpha=90.00 beta=90.00 gamma=120.00
Closest atoms and distances in Å follow each position.
Atoms (fractional coordinates):
W  0.0000  0.0000  0.9822  3 Zr 2.73, 3 Y 3.02
Y  0.3333  0.6667  0.3039  3 W 3.02, 6 Y 3.35
Zr  0.6667  0.3333  0.7138  3 W 2.73

- Offset from the most stable computed form: 245 meV/atom
- Formation energy: 536 meV per atom
- Electronic total energy: -8.79 eV per atom

Record 6
Density functional theory data (PBE-GGA) for an optimized crystal structure of YZr3W.

Unit cell a=5.0061 b=5.0061 c=5.0061 alpha=90.00 beta=90.00 gamma=90.00
Closest atoms and distances in Å follow each position.
Atoms (fractional coordinates):
W  0.5000  0.5000  0.5000  12 Zr 3.54
Zr  0.0000  0.0000  0.5000  2 Y 2.50
Zr  0.5000  0.0000  0.0000  2 Y 2.50
Y  0.0000  0.0000  0.0000  6 Zr 2.50
Zr  0.0000  0.5000  0.0000  2 Y 2.50

- Offset from the most stable computed form: 1443 meV/atom
- Formation energy: 2021 meV per atom
- Electronic total energy: -6.99 eV per atom

Record 7
Density functional theory data (PBE-GGA) for an optimized crystal structure of Y2Zr2W.

Unit cell a=9.7452 b=9.7452 c=9.7452 alpha=157.50 beta=157.50 gamma=32.03
Closest atoms and distances in Å follow each position.
Atoms (fractional coordinates):
Y  0.4135  0.4135  0.0000  4 W 3.14, 1 Y 3.24
Zr  0.7500  0.2500  0.5000  4 Zr 2.69
Zr  0.2500  0.7500  0.5000  4 Zr 2.69
W  0.0000  0.0000  0.0000  8 Y 3.14
Y  0.5865  0.5865  0.0000  4 W 3.14, 1 Y 3.24

- Formation energy: 896 meV per atom
- Electronic total energy: -7.70 eV per atom

Record 8
Density functional theory data (PBE-GGA) for an optimized crystal structure of YZrW.

Unit cell a=6.1704 b=6.1704 c=6.1704 alpha=146.96 beta=146.96 gamma=47.42
Closest atoms and distances in Å follow each position.
Atoms (fractional coordinates):
Y  0.3482  0.3482  0.0000  4 W 3.14, 5 Zr 3.22-3.47, 4 Y 3.51
W  0.0183  0.0183  0.0000  4 Zr 2.80, 4 Y 3.14
Zr  0.6335  0.6335  0.0000  4 W 2.80

- Offset from the most stable computed form: 0 meV/atom
- Formation energy: 291 meV per atom
- Electronic total energy: -9.03 eV per atom

Record 9
Density functional theory data (PBE-GGA) for an optimized crystal structure of Y4ZrW.

Unit cell a=6.0623 b=6.0623 c=6.0623 alpha=60.00 beta=60.00 gamma=60.00
Closest atoms and distances in Å follow each position.
Atoms (fractional coordinates):
Y  0.8769  0.3744  0.3744  6 Y 3.02-3.05
Y  0.3744  0.3744  0.3744  6 Y 3.02-3.05
Y  0.3744  0.8769  0.3744  6 Y 3.02-3.05
Y  0.3744  0.3744  0.8769  6 Y 3.02-3.05
Zr  0.7500  0.7500  0.7500  12 Y 3.56, 4 W 3.71
W  0.0000  0.0000  0.0000  12 Y 3.55, 4 Zr 3.71

- Formation energy: 973 meV per atom
- Electronic total energy: -6.92 eV per atom

Record 10
Density functional theory data (PBE-GGA) for an optimized crystal structure of YZr4W.

Unit cell a=5.7821 b=5.7821 c=5.7821 alpha=60.00 beta=60.00 gamma=60.00
Closest atoms and distances in Å follow each position.
Atoms (fractional coordinates):
Y  0.0000  0.0000  0.0000  12 Zr 3.39, 4 W 3.54
Zr  0.3761  0.3761  0.8717  6 Zr 2.87-2.92
Zr  0.3761  0.3761  0.3761  6 Zr 2.87-2.92
W  0.7500  0.7500  0.7500  12 Zr 3.39, 4 Y 3.54
Zr  0.3761  0.8717  0.3761  6 Zr 2.87-2.92
Zr  0.8717  0.3761  0.3761  6 Zr 2.87-2.92

- Formation energy: 563 meV per atom
- Electronic total energy: -8.37 eV per atom

Record 11
Density functional theory data (PBE-GGA) for an optimized crystal structure of YZrW.

Unit cell a=5.2837 b=5.2837 c=5.2837 alpha=147.60 beta=123.75 gamma=66.42
Closest atoms and distances in Å follow each position.
Atoms (fractional coordinates):
Zr  0.6650  0.6650  0.0000  1 Y 2.91, 2 Zr 2.95, 5 W 2.95-3.25
Y  0.3362  0.3362  0.0000  1 Zr 2.91, 2 Y 2.95, 5 W 2.98-3.23
W  0.9987  0.9987  0.0000  2 W 2.95, 5 Zr 2.95-3.25, 5 Y 2.98-3.23

- Offset from the most stable computed form: 209 meV/atom
- Formation energy: 499 meV per atom
- Electronic total energy: -8.82 eV per atom

Record 12
Density functional theory data (PBE-GGA) for an optimized crystal structure of YZrW4.

Unit cell a=5.4764 b=5.4764 c=5.4764 alpha=60.00 beta=60.00 gamma=60.00
Closest atoms and distances in Å follow each position.
Atoms (fractional coordinates):
W  0.6248  0.6248  0.1255  6 W 2.73-2.74
W  0.6248  0.1255  0.6248  6 W 2.73-2.74
Y  0.2500  0.2500  0.2500  12 W 3.21, 4 Zr 3.35
W  0.1255  0.6248  0.6248  6 W 2.73-2.74
W  0.6248  0.6248  0.6248  6 W 2.73-2.74
Zr  0.0000  0.0000  0.0000  12 W 3.21, 4 Y 3.35

- Formation energy: 10 meV per atom
- Electronic total energy: -11.13 eV per atom

Record 13
Density functional theory data (PBE-GGA) for an optimized crystal structure of YZrW3.

Unit cell a=4.8778 b=4.8778 c=4.8778 alpha=90.00 beta=90.00 gamma=90.00
Closest atoms and distances in Å follow each position.
Atoms (fractional coordinates):
Zr  0.0000  0.0000  0.0000  6 W 2.44
Y  0.5000  0.5000  0.5000  12 W 3.45
W  0.5000  0.0000  0.0000  2 Zr 2.44
W  0.0000  0.5000  0.0000  2 Zr 2.44
W  0.0000  0.0000  0.5000  2 Zr 2.44

- Offset from the most stable computed form: 0 meV/atom
- Formation energy: 1916 meV per atom
- Electronic total energy: -8.86 eV per atom

Record 14
Density functional theory data (PBE-GGA) for an optimized crystal structure of YZr3W.

Unit cell a=5.1616 b=5.1616 c=5.1616 alpha=90.00 beta=90.00 gamma=90.00
Closest atoms and distances in Å follow each position.
Atoms (fractional coordinates):
Zr  0.0000  0.5000  0.0000  2 W 2.58
W  0.0000  0.0000  0.0000  6 Zr 2.58
Y  0.5000  0.5000  0.5000  12 Zr 3.65
Zr  0.5000  0.0000  0.0000  2 W 2.58
Zr  0.0000  0.0000  0.5000  2 W 2.58

- Offset from the most stable computed form: 0 meV/atom
- Formation energy: 578 meV per atom
- Electronic total energy: -8.43 eV per atom

Number 1: magnetization 0.00 μB per cell. Number 2: magnetization 0.00 μB per cell. Number 3: magnetization 0.00 μB per cell. Number 4: magnetization 0.00 μB per cell. Number 5: magnetization 0.00 μB per cell. Number 6: magnetization 0.00 μB per cell. Number 7: magnetization 0.00 μB per cell. Number 8: magnetization 0.00 μB per cell. Number 9: magnetization 0.00 μB per cell. Number 10: magnetization 0.00 μB per cell. Number 11: magnetization 0.00 μB per cell. Number 12: magnetization 0.00 μB per cell. Number 13: magnetization 0.96 μB per cell. Number 14: magnetization 0.00 μB per cell.